Record 1
VASP calculation (PBE) on a relaxed Zn2AsPt crystal.

POSCAR file:
```
Zn2AsPt
1.0
6.3481 -0.0015 -0.0195
4.2749 4.6930 0.0195
-4.9011 -3.2750 2.3564
Pt As Zn
1 1 2
Direct
0.2571 0.7571 0.5000
0.4510 0.4510 0.0000
0.0583 0.0583 0.0000
0.7336 0.2336 0.5000
```

DFT formation energy in meV per atom: -223
SG: Imm2
Total magnetization in Bohr magnetons per cell: 0.00
Theoretical density in g cm⁻³: 9.448

Record 2
VASP calculation (PBE) on a relaxed Zn2AsPt crystal.

POSCAR file:
```
Zn2AsPt
1.0
-0.9003 1.8586 -1.9865
-0.8427 -2.1894 -1.6665
-7.3160 0.1737 3.4781
As Zn Pt
1 2 1
Direct
0.5000 0.2500 0.2500
0.0000 0.2505 0.9643
0.0000 0.2495 0.5357
0.5000 0.7500 0.7500
```

DFT formation energy in meV per atom: -250
SG: Pmmm
Total magnetization in Bohr magnetons per cell: 0.00
Theoretical density in g cm⁻³: 9.962

Record 3
VASP calculation (PBE) on a relaxed ZnAsPt2 crystal.

POSCAR file:
```
ZnAsPt2
1.0
-6.1528 -4.6137 3.8316
-3.9581 -6.5828 3.8503
-4.1429 -4.5608 5.9883
Zn As Pt
1 1 2
Direct
0.2500 0.2500 0.2500
0.7500 0.7500 0.7500
0.9988 0.9988 0.9988
0.5012 0.5012 0.5012
```

DFT formation energy in meV per atom: -221
Energy relative to the lowest polymorph listed for this composition in meV/atom: 89.5
SG: R-3m
Total magnetization in Bohr magnetons per cell: 0.00
Theoretical density in g cm⁻³: 13.893

Record 4
VASP calculation (PBE) on a relaxed ZnAsPt2 crystal.

POSCAR file:
```
ZnAsPt2
1.0
-4.3822 1.5387 0.0287
-0.7972 -2.1955 -4.0140
-0.8294 -2.3894 1.4716
Pt Zn As
2 1 1
Direct
0.0000 0.0000 0.0000
0.5000 0.5000 0.0000
0.5000 0.0000 0.5000
0.0000 0.5000 0.5000
```

DFT formation energy in meV per atom: -229
Energy relative to the lowest polymorph listed for this composition in meV/atom: 81.4
SG: P4/mmm
Total magnetization in Bohr magnetons per cell: 0.00
Theoretical density in g cm⁻³: 13.957